Record 1
Crystalline AcTaRh at its relaxed geometry. Source: Alexandria, functional PBE-GGA.

Unit cell a=4.944 b=3.498 c=11.509 alpha=90.00 beta=90.00 gamma=134.97
Fractional positions:
Rh 0.194 0.387 0.500
Rh 0.690 0.381 0.000
Ac 0.694 0.388 0.332
Ac 0.694 0.388 0.668
Ta 0.197 0.395 0.111
Ta 0.197 0.395 0.889

Summary:
SG = Amm2 (38)
ΔE_f = 0.08 eV/atom

=====

Record 2
Crystalline PuMgTlBi at its relaxed geometry. Source: Alexandria, functional PBE-GGA.

Unit cell a=4.455 b=4.770 c=5.102 alpha=90.00 beta=90.00 gamma=90.00
Site moments in Bohr magnetons follow the coordinates.
Fractional positions:
Mg 0.000 0.000 0.000  -0.01
Bi 0.500 0.000 0.500  0.08
Pu 0.000 0.500 0.500  -5.47
Tl 0.500 0.500 0.000  -0.04

Summary:
SG = Pmmm (47)
ΔE_f = -0.21 eV/atom
energy relative to the lowest polymorph listed for this composition = 0 meV per atom

=====

Record 3
Crystalline Ca3Al2ZnGa9 at its relaxed geometry. Source: Alexandria, functional PBE-GGA.

Unit cell a=6.449 b=6.449 c=10.454 alpha=90.00 beta=90.00 gamma=120.00
Fractional positions:
Ga 0.500 0.000 0.000
Ga 0.132 0.868 0.289
Ga 0.868 0.132 0.711
Ga 0.868 0.736 0.711
Ga 0.264 0.132 0.711
Ga 0.500 0.500 0.000
Ga 0.000 0.500 0.000
Ga 0.736 0.868 0.289
Ga 0.132 0.264 0.289
Zn 0.000 0.000 0.500
Ca 0.667 0.333 0.265
Ca 0.333 0.667 0.735
Ca 0.000 0.000 0.000
Al 0.333 0.667 0.191
Al 0.667 0.333 0.809

Summary:
SG = P-3m1 (164)
ΔE_f = -0.06 eV/atom

=====

Record 4
Crystalline Ho2Ga8Ag at its relaxed geometry. Source: Alexandria, functional PBE-GGA.

Unit cell a=4.359 b=4.359 c=11.337 alpha=90.00 beta=90.00 gamma=90.00
Fractional positions:
Ga 0.000 0.500 0.135
Ga 0.500 0.000 0.500
Ga 0.500 0.000 0.865
Ga 0.000 0.500 0.500
Ga 0.500 0.500 0.311
Ga 0.500 0.500 0.689
Ga 0.000 0.500 0.865
Ga 0.500 0.000 0.135
Ho 0.000 0.000 0.686
Ho 0.000 0.000 0.314
Ag 0.000 0.000 0.000

Summary:
SG = P4/mmm (123)
ΔE_f = -0.36 eV/atom

=====

Record 5
Crystalline Ti2MnNb2 at its relaxed geometry. Source: Alexandria, functional PBE-GGA.

Unit cell a=5.240 b=5.240 c=7.159 alpha=102.03 beta=102.03 gamma=113.41
Fractional positions:
Mn 0.769 0.231 0.000
Mn 0.231 0.769 0.000
Nb 0.171 0.171 0.408
Nb 0.759 0.759 0.076
Nb 0.829 0.829 0.592
Nb 0.241 0.241 0.924
Ti 0.290 0.683 0.300
Ti 0.683 0.290 0.300
Ti 0.710 0.317 0.700
Ti 0.317 0.710 0.700

Summary:
SG = C2/m (12)
ΔE_f = 0.08 eV/atom
energy relative to the lowest polymorph listed for this composition = 0 meV per atom

=====

Record 6
Crystalline Y5Si2S2 at its relaxed geometry. Source: Alexandria, functional PBE-GGA.

Unit cell a=7.520 b=7.424 c=8.045 alpha=117.48 beta=90.00 gamma=90.00
Fractional positions:
Si 0.124 0.624 0.000
Si 0.876 0.376 0.000
Si 0.376 0.124 0.000
Si 0.624 0.876 0.000
Y 0.337 0.968 0.278
Y 0.837 0.809 0.278
Y 0.500 0.500 0.000
Y 0.163 0.468 0.278
Y 0.663 0.309 0.278
Y 0.663 0.032 0.722
Y 0.337 0.691 0.722
Y 0.000 0.000 0.000
Y 0.163 0.191 0.722
Y 0.837 0.532 0.722
S 0.500 0.697 0.395
S 0.500 0.303 0.605
S 0.000 0.803 0.605
S 0.000 0.197 0.395

Summary:
SG = Cmce (64)
energy = -6.93 eV per atom

=====

Record 7
Crystalline Fe2PC at its relaxed geometry. Source: Alexandria, functional PBE-GGA.

Unit cell a=3.113 b=3.113 c=5.579 alpha=90.00 beta=90.00 gamma=120.00
Site moments in Bohr magnetons follow the coordinates.
Fractional positions:
P 0.667 0.333 0.341  -0.07
C 0.333 0.667 0.757  -0.04
Fe 0.667 0.333 0.745  0.36
Fe 0.333 0.667 0.102  1.54

Summary:
SG = P3m1 (156)
ΔE_f = 0.12 eV/atom

=====

Record 8
Crystalline MnCrFe2 at its relaxed geometry. Source: Alexandria, functional PBE-GGA.

Unit cell a=4.296 b=4.296 c=4.290 alpha=80.43 beta=80.43 gamma=33.49
Site moments in Bohr magnetons follow the coordinates.
Fractional positions:
Fe 0.497 0.497 0.508  0.39
Fe 0.003 0.003 0.992  0.39
Cr 0.250 0.250 0.250  0.02
Mn 0.750 0.750 0.750  -0.42

Summary:
SG = C2/m (12)
ΔE_f = 0.14 eV/atom